1.
Computed, not measured: an optimized crystal structure of Ac2MgBr at the PBE level of DFT.

Geometry as POSCAR:
```
Ac2MgBr
1.0
3.988 0.000 0.000
-1.994 3.454 0.000
0.000 0.000 31.481
Ac Mg Br
6 3 3
Direct
0.000 0.000 0.249
0.000 0.000 0.751
0.333 0.667 0.418
0.333 0.667 0.915
0.667 0.333 0.085
0.667 0.333 0.582
0.000 0.000 0.000
0.333 0.667 0.667
0.667 0.333 0.333
0.000 0.000 0.500
0.333 0.667 0.167
0.667 0.333 0.833
```

- space group = R-3m
- uncorrected formation energy (eV/f.u.) = -2.2
- magnetization (μB/f.u.) = 0.0

=====

2.
Computed, not measured: an optimized crystal structure of AcMgBr6 at the PBE level of DFT.

Geometry as POSCAR:
```
AcMgBr6
1.0
7.203 0.000 0.000
3.317 6.403 0.000
3.365 1.439 6.217
Ac Mg Br
1 1 6
Direct
0.000 0.000 0.000
0.500 0.500 0.500
0.098 0.706 0.733
0.312 0.207 0.564
0.396 0.722 0.142
0.604 0.278 0.858
0.688 0.793 0.436
0.902 0.294 0.267
```

- space group = P-1
- uncorrected formation energy (eV/f.u.) = -11.1
- magnetization (μB/f.u.) = 1.0

=====

3.
Computed, not measured: an optimized crystal structure of AcMgBr2 at the PBE level of DFT.

Geometry as POSCAR:
```
AcMgBr2
1.0
3.883 0.000 0.000
-1.941 3.363 0.000
0.000 0.000 31.751
Ac Mg Br
3 3 6
Direct
0.000 0.000 0.000
0.333 0.667 0.667
0.667 0.333 0.333
0.000 0.000 0.500
0.333 0.667 0.167
0.667 0.333 0.833
0.000 0.000 0.405
0.000 0.000 0.595
0.333 0.667 0.072
0.333 0.667 0.261
0.667 0.333 0.739
0.667 0.333 0.928
```

- space group = R-3m
- uncorrected formation energy (eV/f.u.) = -4.0
- magnetization (μB/f.u.) = 0.0

=====

4.
Computed, not measured: an optimized crystal structure of Ac2MgBr at the PBE level of DFT.

Geometry as POSCAR:
```
Ac2MgBr
1.0
3.893 0.000 0.000
0.000 3.893 0.000
0.000 0.000 9.085
Ac Mg Br
2 1 1
Direct
0.000 0.000 0.238
0.000 0.000 0.762
0.500 0.500 0.000
0.500 0.500 0.500
```

- space group = P4/mmm
- uncorrected formation energy (eV/f.u.) = -2.1
- magnetization (μB/f.u.) = 0.0

=====

5.
Computed, not measured: an optimized crystal structure of AcMg2Br6 at the PBE level of DFT.

Geometry as POSCAR:
```
AcMg2Br6
1.0
7.338 -2.024 0.000
7.338 2.024 0.000
-1.463 0.000 11.868
Ac Mg Br
1 2 6
Direct
0.000 0.000 0.000
0.282 0.282 0.281
0.718 0.718 0.719
0.111 0.111 0.237
0.158 0.158 0.607
0.358 0.358 0.097
0.642 0.642 0.903
0.842 0.842 0.393
0.889 0.889 0.763
```

- space group = C2/m
- uncorrected formation energy (eV/f.u.) = -13.3
- magnetization (μB/f.u.) = 0.4

=====

6.
Computed, not measured: an optimized crystal structure of Ac2MgBr2N2 at the PBE level of DFT.

Geometry as POSCAR:
```
Ac2MgBr2N2
1.0
4.271 0.000 0.000
0.000 4.271 0.000
0.000 0.000 17.388
Ac Mg Br N
4 2 4 4
Direct
0.000 0.000 0.093
0.000 0.000 0.907
0.500 0.500 0.407
0.500 0.500 0.593
0.000 0.000 0.500
0.500 0.500 0.000
0.000 0.000 0.320
0.000 0.000 0.680
0.500 0.500 0.180
0.500 0.500 0.820
0.000 0.500 0.000
0.000 0.500 0.500
0.500 0.000 0.000
0.500 0.000 0.500
```

- space group = I4/mmm
- uncorrected formation energy (eV/f.u.) = -10.1
- magnetization (μB/f.u.) = 0.0

=====

7.
Computed, not measured: an optimized crystal structure of AcMgSnBr at the PBE level of DFT.

Geometry as POSCAR:
```
AcMgSnBr
1.0
2.398 1.385 14.065
-2.398 1.385 14.065
0.000 -2.769 14.065
Ac Mg Sn Br
2 2 2 2
Direct
0.090 0.090 0.090
0.910 0.910 0.910
0.310 0.310 0.310
0.690 0.690 0.690
0.380 0.380 0.380
0.620 0.620 0.620
0.203 0.203 0.203
0.797 0.797 0.797
```

- space group = R-3m
- uncorrected formation energy (eV/f.u.) = -4.0
- magnetization (μB/f.u.) = 0.0

=====

8.
Computed, not measured: an optimized crystal structure of AcMnBr6 at the PBE level of DFT.

Geometry as POSCAR:
```
AcMnBr6
1.0
6.937 0.000 0.000
-3.461 6.025 0.000
-3.460 -1.996 6.445
Ac Mn Br
1 1 6
Direct
0.000 0.000 0.000
0.000 0.500 0.500
0.160 0.443 0.272
0.171 0.282 0.729
0.447 0.889 0.729
0.553 0.111 0.271
0.829 0.718 0.271
0.840 0.557 0.728
```

- space group = P-1
- uncorrected formation energy (eV/f.u.) = -9.8
- magnetization (μB/f.u.) = 4.0